## TbHo2Rh9 (PBE-GGA)

Data for a relaxed TbHo2Rh9 crystal.

- E (eV/atom) = -7.2374
- total moment (Bohr magnetons per cell) = 0.000
- V (Å³ per cell) = 209
- symmetry = R-3m, No. 166
- DOS at the Fermi energy (states/eV/atom) = 1.07
- calculated density (g cm⁻³) = 11.2

abc: 5.2535 5.2535 9.2745
angles: 73.55 73.55 60.00
Closest atoms and distances in Å follow each position.
Positions (direct):
1 Tb 0.0000 0.0000 0.0000  6 Rh 3.03
2 Ho 0.8610 0.8610 0.4171  12 Rh 3.01-3.30, 3 Ho 3.36
3 Ho 0.1390 0.1390 0.5829  12 Rh 3.01-3.30, 3 Ho 3.36
4 Rh 0.6669 0.6669 0.9992  6 Rh 2.65-2.66
5 Rh 0.3331 0.3331 0.0008  6 Rh 2.65-2.66
6 Rh 0.5000 0.5000 0.5000  6 Rh 2.68
7 Rh 0.4169 0.4169 0.2486  7 Rh 2.62-2.68
8 Rh 0.9177 0.4169 0.2486  7 Rh 2.62-2.68
9 Rh 0.4169 0.9177 0.2486  7 Rh 2.62-2.68
10 Rh 0.5831 0.5831 0.7514  7 Rh 2.62-2.68
11 Rh 0.5831 0.0823 0.7514  7 Rh 2.62-2.68
12 Rh 0.0823 0.5831 0.7514  7 Rh 2.62-2.68

## TbHo3Rh2 (PBE-GGA)

Data for a relaxed TbHo3Rh2 crystal.

- E (eV/atom) = -6.0916
- total moment (Bohr magnetons per cell) = 0.000
- energy above the most stable polymorph in this dataset (meV per atom) = 89
- V (Å³ per cell) = 319
- symmetry = Ibam, No. 72
- DOS at the Fermi energy (states/eV/atom) = 0.83
- calculated density (g cm⁻³) = 9.0

abc: 6.6938 7.0417 8.3271
angles: 115.01 113.70 90.00
Closest atoms and distances in Å follow each position.
Positions (direct):
1 Tb 0.0000 0.5000 0.0000  2 Rh 2.69
2 Tb 0.0000 0.0000 0.0000  2 Rh 2.69
3 Ho 0.5000 0.2500 0.0000  4 Rh 2.93
4 Ho 0.5000 0.7500 0.0000  4 Rh 2.93
5 Ho 0.7672 0.0172 0.5344  4 Rh 2.85-2.91
6 Ho 0.2328 0.4828 0.4656  4 Rh 2.85-2.91
7 Ho 0.2328 0.9828 0.4656  4 Rh 2.85-2.91
8 Ho 0.7672 0.5172 0.5344  4 Rh 2.85-2.91
9 Rh 0.5726 0.3616 0.7232  1 Tb 2.69, 6 Ho 2.85-2.93
10 Rh 0.8494 0.1384 0.2768  1 Tb 2.69, 6 Ho 2.85-2.93
11 Rh 0.1506 0.8616 0.7232  1 Tb 2.69, 6 Ho 2.85-2.93
12 Rh 0.4274 0.6384 0.2768  1 Tb 2.69, 6 Ho 2.85-2.93

## Tb4Ho3Rh4 (PBE-GGA)

Data for a relaxed Tb4Ho3Rh4 crystal.

- E (eV/atom) = -6.2329
- total moment (Bohr magnetons per cell) = 0.000
- V (Å³ per cell) = 262
- symmetry = Immm, No. 71
- DOS at the Fermi energy (states/eV/atom) = 0.66
- calculated density (g cm⁻³) = 9.8

abc: 3.6660 8.9476 9.3345
angles: 118.64 101.32 90.00
Closest atoms and distances in Å follow each position.
Positions (direct):
1 Tb 0.3356 0.1492 0.6713  4 Rh 2.77-3.09
2 Tb 0.6644 0.4779 0.3287  4 Rh 2.77-3.09
3 Tb 0.6644 0.8508 0.3287  4 Rh 2.77-3.09
4 Tb 0.3356 0.5221 0.6713  4 Rh 2.77-3.09
5 Ho 0.1017 0.1017 0.2035  6 Rh 2.94-3.11, 1 Ho 3.25
6 Ho 0.8983 0.8983 0.7965  6 Rh 2.94-3.11, 1 Ho 3.25
7 Ho 0.0000 0.5000 0.0000  4 Rh 3.14
8 Rh 0.2542 0.7542 0.5084  6 Tb 2.86-3.09, 2 Ho 2.94
9 Rh 0.7458 0.2458 0.4916  6 Tb 2.86-3.09, 2 Ho 2.94
10 Rh 0.5000 0.7852 0.0000  2 Tb 2.77
11 Rh 0.5000 0.2148 0.0000  2 Tb 2.77

## Tb2Ho2Rh3 (PBE-GGA)

Data for a relaxed Tb2Ho2Rh3 crystal.

- E (eV/atom) = -6.5366
- total moment (Bohr magnetons per cell) = 0.000
- energy above the most stable polymorph in this dataset (meV per atom) = 36
- V (Å³ per cell) = 159
- symmetry = P-1, No. 2
- DOS at the Fermi energy (states/eV/atom) = 0.55
- calculated density (g cm⁻³) = 10.0

abc: 4.8259 7.6805 4.7894
angles: 71.92 90.18 108.19
Closest atoms and distances in Å follow each position.
Positions (direct):
1 Tb 0.6273 0.2517 0.8731  6 Rh 2.93-2.98
2 Tb 0.3727 0.7483 0.1269  6 Rh 2.93-2.98
3 Ho 0.8719 0.7467 0.6277  6 Rh 2.94-2.97
4 Ho 0.1281 0.2533 0.3723  6 Rh 2.94-2.97
5 Rh 0.0000 0.0000 0.0000  4 Ho 2.96-2.97, 4 Tb 2.96-2.98
6 Rh 0.7478 0.4962 0.2521  4 Tb 2.93-2.97, 4 Ho 2.94-2.95
7 Rh 0.2522 0.5038 0.7479  4 Tb 2.93-2.97, 4 Ho 2.94-2.95

## Tb3Ho3Rh2 (PBE-GGA)

Data for a relaxed Tb3Ho3Rh2 crystal.

- E (eV/atom) = -5.7027
- total moment (Bohr magnetons per cell) = 0.000
- V (Å³ per cell) = 446
- symmetry = Cmcm, No. 63
- DOS at the Fermi energy (states/eV/atom) = 1.03
- calculated density (g cm⁻³) = 8.8

abc: 3.7923 6.8148 17.9735
angles: 90.00 90.00 106.16
Closest atoms and distances in Å follow each position.
Positions (direct):
1 Tb 0.9411 0.8821 0.4102  2 Rh 2.80
2 Tb 0.0589 0.1179 0.9102  2 Rh 2.80
3 Tb 0.9411 0.8821 0.0898  2 Rh 2.80
4 Tb 0.0589 0.1179 0.5898  2 Rh 2.80
5 Tb 0.7236 0.4472 0.2500  4 Rh 2.95
6 Tb 0.2764 0.5528 0.7500  4 Rh 2.95
7 Ho 0.6721 0.3442 0.4410  2 Rh 2.86
8 Ho 0.3279 0.6558 0.9410  2 Rh 2.86
9 Ho 0.6721 0.3442 0.0590  2 Rh 2.86
10 Ho 0.3279 0.6558 0.5590  2 Rh 2.86
11 Ho 0.4500 0.9000 0.2500  2 Rh 2.87
12 Ho 0.5500 0.1000 0.7500  2 Rh 2.87
13 Rh 0.7032 0.4063 0.8642  4 Tb 2.80-2.95, 3 Ho 2.86-2.87
14 Rh 0.2968 0.5937 0.3642  4 Tb 2.80-2.95, 3 Ho 2.86-2.87
15 Rh 0.7032 0.4063 0.6358  4 Tb 2.80-2.95, 3 Ho 2.86-2.87
16 Rh 0.2968 0.5937 0.1358  4 Tb 2.80-2.95, 3 Ho 2.86-2.87

## TbHo2Rh3 (PBE-GGA)

Data for a relaxed TbHo2Rh3 crystal.

- E (eV/atom) = -6.8572
- total moment (Bohr magnetons per cell) = 0.000
- energy above the most stable polymorph in this dataset (meV per atom) = 3
- V (Å³ per cell) = 120
- symmetry = P4/mmm, No. 123
- DOS at the Fermi energy (states/eV/atom) = 0.59
- calculated density (g cm⁻³) = 11.0

abc: 3.4208 3.4208 10.2632
angles: 90.00 90.00 90.00
Closest atoms and distances in Å follow each position.
Positions (direct):
1 Tb 0.5000 0.5000 0.5000  8 Rh 2.98
2 Ho 0.5000 0.5000 0.8341  8 Rh 2.95-2.96
3 Ho 0.5000 0.5000 0.1659  8 Rh 2.95-2.96
4 Rh 0.0000 0.0000 0.0000  8 Ho 2.96
5 Rh 0.0000 0.0000 0.6691  4 Ho 2.95, 4 Tb 2.98
6 Rh 0.0000 0.0000 0.3309  4 Ho 2.95, 4 Tb 2.98

## Tb2HoRh3 (PBE-GGA)

Data for a relaxed Tb2HoRh3 crystal.

- E (eV/atom) = -6.8449
- total moment (Bohr magnetons per cell) = 0.000
- energy above the most stable polymorph in this dataset (meV per atom) = 4
- V (Å³ per cell) = 121
- symmetry = P4/mmm, No. 123
- DOS at the Fermi energy (states/eV/atom) = 0.62
- calculated density (g cm⁻³) = 10.8

abc: 3.4316 3.4316 10.2931
angles: 90.00 90.00 90.00
Closest atoms and distances in Å follow each position.
Positions (direct):
1 Tb 0.5000 0.5000 0.8325  8 Rh 2.98
2 Tb 0.5000 0.5000 0.1675  8 Rh 2.98
3 Ho 0.5000 0.5000 0.5000  8 Rh 2.96
4 Rh 0.0000 0.0000 0.0000  8 Tb 2.98
5 Rh 0.0000 0.0000 0.6643  4 Ho 2.96, 4 Tb 2.98
6 Rh 0.0000 0.0000 0.3357  4 Ho 2.96, 4 Tb 2.98

## TbHo2Rh3 (PBE-GGA)

Data for a relaxed TbHo2Rh3 crystal.

- E (eV/atom) = -6.8603
- total moment (Bohr magnetons per cell) = 0.000
- energy above the most stable polymorph in this dataset (meV per atom) = 0
- V (Å³ per cell) = 240
- symmetry = P-3m1, No. 164
- DOS at the Fermi energy (states/eV/atom) = 0.67
- calculated density (g cm⁻³) = 11.0

abc: 4.8397 4.8397 11.8244
angles: 90.00 90.00 120.00
Closest atoms and distances in Å follow each position.
Positions (direct):
1 Tb 0.3333 0.6667 0.6673  8 Rh 2.96-2.97
2 Tb 0.6667 0.3333 0.3327  8 Rh 2.96-2.97
3 Ho 0.0000 0.0000 0.5000  8 Rh 2.96-2.97
4 Ho 0.3333 0.6667 0.1657  8 Rh 2.93-2.97
5 Ho 0.6667 0.3333 0.8343  8 Rh 2.93-2.97
6 Ho 0.0000 0.0000 0.0000  8 Rh 2.94-2.96
7 Rh 0.3333 0.6667 0.4166  4 Ho 2.96-2.97, 4 Tb 2.96-2.97
8 Rh 0.6667 0.3333 0.0823  7 Ho 2.93-2.96, 1 Tb 2.96
9 Rh 0.0000 0.0000 0.7512  5 Ho 2.94-2.97, 3 Tb 2.97
10 Rh 0.0000 0.0000 0.2488  5 Ho 2.94-2.97, 3 Tb 2.97
11 Rh 0.3333 0.6667 0.9177  7 Ho 2.93-2.96, 1 Tb 2.96
12 Rh 0.6667 0.3333 0.5834  4 Ho 2.96-2.97, 4 Tb 2.96-2.97

## Tb2Ho2Rh3 (PBE-GGA)

Data for a relaxed Tb2Ho2Rh3 crystal.

- E (eV/atom) = -6.5730
- total moment (Bohr magnetons per cell) = 0.000
- energy above the most stable polymorph in this dataset (meV per atom) = 0
- V (Å³ per cell) = 158
- symmetry = C2/m, No. 12
- DOS at the Fermi energy (states/eV/atom) = 0.47
- calculated density (g cm⁻³) = 10.0

abc: 4.7995 4.7926 8.4280
angles: 89.92 106.65 120.02
Closest atoms and distances in Å follow each position.
Positions (direct):
1 Tb 0.2494 0.1248 0.3742  5 Rh 2.95-3.02
2 Tb 0.7506 0.8752 0.6258  5 Rh 2.95-3.02
3 Ho 0.7509 0.3756 0.1258  7 Rh 2.93-2.96
4 Ho 0.2491 0.6244 0.8742  7 Rh 2.93-2.96
5 Rh 0.0000 0.0000 0.0000  6 Ho 2.94-2.95, 2 Tb 2.98
6 Rh 0.5024 0.2510 0.7540  4 Ho 2.93-2.96, 4 Tb 2.95-3.02
7 Rh 0.4976 0.7490 0.2460  4 Ho 2.93-2.96, 4 Tb 2.95-3.02

## TbHo2Rh2 (PBE-GGA)

Data for a relaxed TbHo2Rh2 crystal.

- E (eV/atom) = -6.3282
- total moment (Bohr magnetons per cell) = 0.000
- energy above the most stable polymorph in this dataset (meV per atom) = 3
- V (Å³ per cell) = 230
- symmetry = Cmcm, No. 63
- DOS at the Fermi energy (states/eV/atom) = 0.72
- calculated density (g cm⁻³) = 10.0

abc: 3.7916 4.6226 13.2455
angles: 90.00 98.23 90.00
Closest atoms and distances in Å follow each position.
Positions (direct):
1 Tb 0.3630 0.2500 0.7259  5 Rh 2.73-3.06
2 Tb 0.6370 0.7500 0.2741  5 Rh 2.73-3.06
3 Ho 0.0518 0.2500 0.1037  7 Rh 2.86-3.03
4 Ho 0.9482 0.7500 0.8963  7 Rh 2.86-3.03
5 Ho 0.7352 0.2500 0.4705  2 Rh 2.72
6 Ho 0.2648 0.7500 0.5295  2 Rh 2.72
7 Rh 0.1611 0.2500 0.3221  3 Ho 2.72-2.86
8 Rh 0.8389 0.7500 0.6779  3 Ho 2.72-2.86
9 Rh 0.4671 0.2500 0.9342  1 Tb 2.73, 2 Rh 2.88, 6 Ho 2.92-3.03
10 Rh 0.5329 0.7500 0.0658  1 Tb 2.73, 2 Rh 2.88, 6 Ho 2.92-3.03